# 1
# U2Co21B6 (PBE, relaxed)
# * theoretical density: 9.95 g/cm3
# * spin magnetization: 16.75 μB per formula unit
# * calculated formation energy: -765 kJ/mol of formula units
data_U2Co21B6
_chemical_formula_sum 'U8 Co84 B24'
_space_group_name_H-M_alt 'F m -3 m'
_space_group_IT_number 225
_space_group_name_Hall '-F 4 2 3'
_cell_length_a 10.590
_cell_length_b 10.590
_cell_length_c 10.590
_cell_angle_alpha 90.00
_cell_angle_beta 90.00
_cell_angle_gamma 90.00
loop_
_atom_site_label
_atom_site_fract_x
_atom_site_fract_y
_atom_site_fract_z
U1 0.250 0.250 0.250
Co1 0.000 0.000 0.000
Co2 0.000 0.168 0.168
Co3 0.117 0.117 0.383
B1 0.000 0.000 0.274

# 2
# U3CoB7 (PBE, relaxed)
# * theoretical density: 11.83 g/cm3
# * spin magnetization: 2.56 μB per formula unit
# * calculated formation energy: -387 kJ/mol of formula units
data_U3CoB7
_chemical_formula_sum 'U12 Co4 B28'
_space_group_name_H-M_alt 'C m c m'
_space_group_IT_number 63
_space_group_name_Hall '-C 2c 2'
_cell_length_a 3.250
_cell_length_b 15.744
_cell_length_c 9.312
_cell_angle_alpha 90.00
_cell_angle_beta 90.00
_cell_angle_gamma 90.00
loop_
_atom_site_label
_atom_site_fract_x
_atom_site_fract_y
_atom_site_fract_z
U1 0.000 0.107 0.069
U2 0.000 0.252 0.750
Co1 0.000 0.059 0.750
B1 0.000 0.273 0.032
B2 0.000 0.366 0.152
B3 0.000 0.467 0.750
B4 0.000 0.477 0.090

# 3
# UCo2B2 (PBE, relaxed)
# * theoretical density: 11.31 g/cm3
# * spin magnetization: 0.00 μB per formula unit
# * calculated formation energy: -180 kJ/mol of formula units
data_UCo2B2
_chemical_formula_sum 'U2 Co4 B4'
_space_group_name_H-M_alt 'P 1 21/m 1'
_space_group_IT_number 11
_cell_length_a 3.726
_cell_length_b 3.479
_cell_length_c 8.559
_cell_angle_alpha 90.00
_cell_angle_beta 91.91
_cell_angle_gamma 90.00
loop_
_space_group_symop_operation_xyz
'x,y,z'
'-x,-y,-z'
'-x,y+1/2,-z'
'x,-y+1/2,z'
loop_
_atom_site_label
_atom_site_fract_x
_atom_site_fract_y
_atom_site_fract_z
U1 0.241 0.250 0.251
Co1 0.248 0.750 0.497
Co2 0.347 0.250 0.898
B1 0.142 0.750 0.007
B2 0.261 0.250 0.634

- Which formula does entry 3 have?
  UCo2B2